# KNaNbRh2

A relaxed KNaNbRh2 crystal (PBE, Alexandria).

It has space group P4/mmm (No. 123), with a = 4.871 Å, b = 4.871 Å, c = 4.731 Å, α = 90.00°, β = 90.00° and γ = 90.00°. The asymmetric unit holds K at (0.000, 0.000, 0.000), Na at (0.500, 0.500, 0.500), Nb at (0.000, 0.000, 0.500) and Rh at (0.000, 0.500, 0.000).

For the size of the total moment, the calculation gives 0.0 μB per formula unit. The crystal system is tetragonal. Its uncorrected energy is -16.06 eV/f.u.

=====

# Sb2PtC

A relaxed Sb2PtC crystal (PBE, Alexandria).

It has space group I-42d (No. 122), with a = 5.815 Å, b = 5.815 Å, c = 10.072 Å, α = 90.00°, β = 90.00° and γ = 90.00°. The asymmetric unit holds Sb at (0.202, 0.250, 0.125), Pt at (0.000, 0.000, 0.500) and C at (0.000, 0.000, 0.000).

For the size of the total moment, the calculation gives 0.0 μB per formula unit. The calculation puts the formation energy from raw total energies at 0.472 eV/atom. The crystal system is tetragonal. Its uncorrected energy is -21.62 eV/f.u.

=====

# LaScSe2Br

A relaxed LaScSe2Br crystal (PBE, Alexandria).

It has space group P4/mmm (No. 123), with a = 5.752 Å, b = 5.752 Å, c = 5.611 Å, α = 90.00°, β = 90.00° and γ = 90.00°. The asymmetric unit holds La at (0.000, 0.000, 0.000), Sc at (0.500, 0.500, 0.500), Se at (0.000, 0.500, 0.000) and Br at (0.000, 0.000, 0.500).

For the size of the total moment, the calculation gives 1.0 μB per formula unit. The calculation puts the formation energy from raw total energies at -0.764 eV/atom. The crystal system is tetragonal. Its uncorrected energy is -23.72 eV/f.u. The offset from the most stable computed form is 0.639 eV per atom.

=====

# LuZrInRe

A relaxed LuZrInRe crystal (PBE, Alexandria).

It has space group F-43m (No. 216), with a = 6.915 Å, b = 6.915 Å, c = 6.915 Å, α = 90.00°, β = 90.00° and γ = 90.00°. The asymmetric unit holds Lu at (0.000, 0.000, 0.000), Zr at (0.000, 0.000, 0.500), In at (0.250, 0.250, 0.750) and Re at (0.250, 0.250, 0.250).

For the size of the total moment, the calculation gives 0.0 μB per formula unit. The crystal system is cubic. Its uncorrected energy is -28.80 eV/f.u.

=====

# ZrZn2Rh3

A relaxed ZrZn2Rh3 crystal (PBE, Alexandria).

It has space group P-3m1 (No. 164), with a = 4.4190 Å, b = 4.4190 Å, c = 10.7529 Å, α = 90.00°, β = 90.00° and γ = 120.00°. The asymmetric unit holds Zr at (0.3333, 0.6667, 0.1727), Zn at (0.0000, 0.0000, 0.0000), Zn at (0.0000, 0.0000, 0.5000), Zn at (0.3333, 0.6667, 0.6627), Rh at (0.0000, 0.0000, 0.2584), Rh at (0.3333, 0.6667, 0.4211) and Rh at (0.3333, 0.6667, 0.9170).

For the size of the total moment, the calculation gives 0.0 μB per formula unit. The crystal system is trigonal. Its uncorrected energy is -37.05 eV/f.u.

=====

# FeReS3

A relaxed FeReS3 crystal (PBE, Alexandria).

It has space group Pm-3m (No. 221), with a = 4.629 Å, b = 4.629 Å, c = 4.629 Å, α = 90.00°, β = 90.00° and γ = 90.00°. The asymmetric unit holds Fe at (0.000, 0.000, 0.000), Re at (0.500, 0.500, 0.500) and S at (0.000, 0.500, 0.500).

For the size of the total moment, the calculation gives 3.8 μB per formula unit. The calculation puts the formation energy from raw total energies at 0.733 eV/atom. The crystal system is cubic. Its uncorrected energy is -29.63 eV/f.u. The offset from the most stable computed form is 0.000 eV per atom.

=====

# Li2Nd2Pt

A relaxed Li2Nd2Pt crystal (PBE, Alexandria).

It has space group Immm (No. 71), with a = 4.653 Å, b = 4.961 Å, c = 9.859 Å, α = 90.00°, β = 90.00° and γ = 90.00°. The asymmetric unit holds Li at (0.241, 0.000, 0.000), Nd at (0.000, 0.000, 0.315) and Pt at (0.000, 0.500, 0.000).

For the size of the total moment, the calculation gives 0.0 μB per formula unit. The crystal system is orthorhombic. Its uncorrected energy is -21.36 eV/f.u.

=====

# MgZr2AgH

A relaxed MgZr2AgH crystal (PBE, Alexandria).

It has space group P4/mmm (No. 123), with a = 4.305 Å, b = 4.305 Å, c = 4.572 Å, α = 90.00°, β = 90.00° and γ = 90.00°. The asymmetric unit holds Mg at (0.000, 0.000, 0.000), Zr at (0.000, 0.500, 0.500), Ag at (0.500, 0.500, 0.000) and H at (0.000, 0.000, 0.500).

For the size of the total moment, the calculation gives 0.0 μB per formula unit. The crystal system is tetragonal. Its uncorrected energy is -25.50 eV/f.u. The offset from the most stable computed form is 0.000 eV per atom.